{
  "formula": "Ca2MgTc",
  "functional": "PBE",
  "state": "relaxed",
  "cell": [[-0.639, -1.196, 2.862], [-5.173, -1.875, -1.938], [-1.122, -5.671, -2.621]],
  "species": ["Tc", "Mg", "Ca", "Ca"],
  "frac_coords": [[0.000, 0.000, 0.500], [0.500, 0.500, 0.500], [0.000, 0.000, 0.000], [0.500, 0.500, 0.000]],
  "mass_density_g_cm3": 3.5,
  "final_energy_ev_per_atom": -3.367,
  "e_form_ev_per_atom": 0.62
}

---

{
  "formula": "MoOsBr2",
  "functional": "PBE",
  "state": "relaxed",
  "cell": [[1.801, 0.000, 8.616], [-0.900, 1.559, 8.616], [-0.900, -1.559, 8.616]],
  "species": ["Br", "Br", "Os", "Mo"],
  "frac_coords": [[0.093, 0.093, 0.093], [0.907, 0.907, 0.907], [0.000, 0.000, 0.000], [0.500, 0.500, 0.500]],
  "de_polymorph_mev_per_atom": 776,
  "raw_formation_energy_mev_per_atom": 950,
  "mass_density_g_cm3": 10.2,
  "final_energy_ev_per_atom": -5.401
}

---

{
  "formula": "KRb3Cd8",
  "functional": "PBE",
  "state": "relaxed",
  "cell": [[6.466, 0.000, 0.000], [-3.233, 5.600, 0.000], [0.000, 0.000, 10.789]],
  "species": ["Cd", "Cd", "Cd", "Cd", "Cd", "Cd", "Cd", "Cd", "Rb", "Rb", "Rb", "K"],
  "frac_coords": [[0.166, 0.332, 0.253], [0.166, 0.834, 0.253], [0.668, 0.834, 0.253], [0.333, 0.667, 0.003], [0.499, 0.997, 0.747], [0.499, 0.501, 0.747], [0.333, 0.667, 0.499], [0.003, 0.501, 0.747], [0.000, 0.000, 0.939], [0.667, 0.333, 0.058], [0.667, 0.333, 0.443], [0.000, 0.000, 0.560]],
  "mass_density_g_cm3": 5.1,
  "final_energy_ev_per_atom": -1.009,
  "e_form_ev_per_atom": -0.07
}

---

{
  "formula": "NpSCl",
  "functional": "PBE",
  "state": "relaxed",
  "cell": [[-1.262, 3.209, -2.035], [0.691, -3.848, -6.494], [-8.505, -2.848, 0.782]],
  "species": ["S", "S", "S", "S", "Np", "Np", "Np", "Np", "Cl", "Cl", "Cl", "Cl"],
  "frac_coords": [[0.250, 0.668, 0.063], [0.750, 0.332, 0.937], [0.250, 0.168, 0.437], [0.750, 0.832, 0.563], [0.750, 0.179, 0.645], [0.750, 0.679, 0.855], [0.250, 0.821, 0.355], [0.250, 0.321, 0.145], [0.750, 0.008, 0.172], [0.750, 0.508, 0.328], [0.250, 0.492, 0.672], [0.250, 0.992, 0.828]],
  "raw_formation_energy_mev_per_atom": -1427,
  "mass_density_g_cm3": 7.4,
  "final_energy_ev_per_atom": -7.732
}